Entry 1:
Compound: Pm2Pr
Source: OQMD
Functional: PBE
Structure: relaxed Values from VASP.

Cell and atoms, written as Quantum ESPRESSO input:
```
&SYSTEM
  ibrav = 0, nat = 6, ntyp = 2
/
ATOMIC_SPECIES
Pm 145.00 Pm.upf
Pr 140.91 Pr.upf
CELL_PARAMETERS angstrom
6.141 0.268 2.685
1.251 -3.082 5.825
3.846 -5.494 0.130
ATOMIC_POSITIONS angstrom
Pm 6.398 -3.652 2.488
Pm 7.023 -5.193 5.400
Pm 3.953 -5.326 4.058
Pm 5.100 -2.446 5.335
Pr 2.809 -2.077 2.160
Pr 0.000 0.000 0.000
```

## Properties
symmetry: Fd-3m, No. 227
ΔH_f (0 K): 0.246 eV/atom
ρ: 6.706 g/cm³

=====

Entry 2:
Compound: Lu4Sc2Bi3C3
Source: OQMD
Functional: PBE
Structure: relaxed Values from VASP.

Cell and atoms, written as Quantum ESPRESSO input:
```
&SYSTEM
  ibrav = 0, nat = 24, ntyp = 4
/
ATOMIC_SPECIES
Bi 208.98 Bi.upf
Lu 174.97 Lu.upf
C 12.01 C.upf
Sc 44.96 Sc.upf
CELL_PARAMETERS angstrom
1.059 0.850 -5.987
-4.687 0.997 -3.837
2.466 14.222 5.621
ATOMIC_POSITIONS angstrom
Bi 2.367 11.531 -1.569
Bi -1.341 4.762 -5.250
Bi -3.530 4.539 -2.634
Bi 0.179 11.308 1.048
Bi -0.175 4.174 -2.092
Bi -0.988 11.896 -2.111
Lu -0.488 14.659 -3.756
Lu -3.098 2.642 -6.997
Lu -0.674 1.410 -0.447
Lu -0.904 9.729 -4.545
Lu -0.258 6.341 0.343
Lu -2.673 7.572 -6.210
Lu 1.511 8.497 2.007
Lu 1.936 13.427 2.794
C -3.514 1.110 -5.187
C 0.528 8.150 -3.427
C -2.344 0.498 -1.919
C 1.763 7.536 -0.183
C -0.113 0.737 -4.637
C -1.690 7.920 -0.775
Sc -1.460 7.047 -2.921
Sc -1.894 1.936 -3.733
Sc 0.298 9.023 -1.281
Sc 0.732 14.134 -0.470
```

## Properties
symmetry: C2/c, No. 15
total energy: -156.4 eV per cell
ρ: 9.808 g/cm³

=====

Entry 3:
Compound: NiI3
Source: OQMD
Functional: PBE
Structure: relaxed Values from VASP.

Cell and atoms, written as Quantum ESPRESSO input:
```
&SYSTEM
  ibrav = 0, nat = 4, ntyp = 2
/
ATOMIC_SPECIES
I 126.90 I.upf
Ni 58.69 Ni.upf
CELL_PARAMETERS angstrom
5.310 0.000 0.000
0.000 5.310 0.000
0.000 0.000 5.310
ATOMIC_POSITIONS angstrom
I 2.655 0.000 2.655
I 2.655 2.655 0.000
I 0.000 2.655 2.655
Ni 2.655 2.655 2.655
```

## Properties
symmetry: Pm-3m, No. 221
total energy: -9.7 eV per cell
ρ: 4.874 g/cm³

=====

Entry 4:
Compound: Sm2Sc2BBr5
Source: OQMD
Functional: PBE
Structure: relaxed Values from VASP.

Cell and atoms, written as Quantum ESPRESSO input:
```
&SYSTEM
  ibrav = 0, nat = 10, ntyp = 4
/
ATOMIC_SPECIES
B 10.81 B.upf
Br 79.90 Br.upf
Sc 44.96 Sc.upf
Sm 150.36 Sm.upf
CELL_PARAMETERS angstrom
8.911 -1.924 0.000
8.911 1.924 0.000
-1.855 0.000 8.247
ATOMIC_POSITIONS angstrom
B 8.911 0.000 0.000
Br 2.451 0.000 2.523
Br 13.516 0.000 5.724
Br 14.481 0.000 1.176
Br 7.983 0.000 4.124
Br 1.486 0.000 7.071
Sc 11.193 0.000 0.550
Sc 4.774 0.000 7.697
Sm 17.420 0.000 1.740
Sm -1.454 0.000 6.507
```

## Properties
symmetry: C2/m, No. 12
total energy: -50.9 eV per cell
ρ: 4.704 g/cm³

=====

Entry 5:
Compound: MgCuSbPd
Source: OQMD
Functional: PBE
Structure: relaxed Values from VASP.

Cell and atoms, written as Quantum ESPRESSO input:
```
&SYSTEM
  ibrav = 0, nat = 4, ntyp = 4
/
ATOMIC_SPECIES
Mg 24.30 Mg.upf
Sb 121.76 Sb.upf
Cu 63.55 Cu.upf
Pd 106.42 Pd.upf
CELL_PARAMETERS angstrom
0.000 3.259 3.259
3.259 0.000 3.259
3.259 3.259 0.000
ATOMIC_POSITIONS angstrom
Mg 4.888 4.888 4.888
Sb 1.629 1.629 1.629
Cu 0.000 0.000 0.000
Pd 3.259 3.259 3.259
```

## Properties
symmetry: F-43m, No. 216
total energy: -15.8 eV per cell
ρ: 7.581 g/cm³

=====

Entry 6:
Compound: DyLuAu4
Source: OQMD
Functional: PBE
Structure: relaxed Values from VASP.

Cell and atoms, written as Quantum ESPRESSO input:
```
&SYSTEM
  ibrav = 0, nat = 6, ntyp = 3
/
ATOMIC_SPECIES
Dy 162.50 Dy.upf
Lu 174.97 Lu.upf
Au 196.97 Au.upf
CELL_PARAMETERS angstrom
-2.443 -1.547 -2.310
2.143 -3.007 -0.252
-4.312 -3.661 7.015
ATOMIC_POSITIONS angstrom
Dy -2.156 -1.831 3.507
Lu -0.150 -2.277 -1.281
Au -3.030 -4.722 3.403
Au -0.696 -0.591 1.132
Au -3.616 -3.071 5.883
Au -1.583 -3.494 1.050
```

## Properties
symmetry: P4/mmm, No. 123
ΔH_f (0 K): -0.880 eV/atom
ρ: 15.138 g/cm³